Entry one
A relaxed structure of Dy8NiPd2. Source: Alexandria via LeMat-Bulk, functional PBE.

```
11
Lattice="-2.797 2.657 4.646 -5.574 -4.382 -2.821 5.477 -3.932 3.574" Properties=species:S:1:pos:R:3 pbc="T T T"
Dy -3.082 -0.301 2.070
Dy -0.245 -0.186 3.712
Dy -0.510 -2.528 1.059
Dy 0.509 -1.401 6.870
Dy -6.116 -1.671 3.036
Dy -2.314 -3.235 4.226
Dy -2.506 -5.659 1.448
Dy 0.335 -5.543 3.092
Ni -0.513 0.450 0.855
Pd -3.500 -3.003 1.441
Pd 0.672 -2.833 3.856
```

N(E_F), states/eV/cell: 14.209


Entry two
A relaxed structure of Dy8NiPd2. Source: Alexandria via LeMat-Bulk, functional PBE.

```
11
Lattice="5.050 0.000 0.000 0.000 6.694 0.327 -2.525 -2.479 8.270" Properties=species:S:1:pos:R:3 pbc="T T T"
Dy 0.000 1.671 6.979
Dy 2.525 5.731 3.006
Dy 2.525 3.052 5.112
Dy 2.525 -0.884 7.819
Dy 0.000 1.163 3.484
Dy 0.000 -1.517 5.590
Dy 2.525 2.543 1.617
Dy 0.000 5.099 0.778
Ni 2.525 0.000 0.000
Pd 2.525 0.242 5.204
Pd 0.000 3.972 3.392
```

N(E_F), states/eV/cell: 13.024


Stability summary: most stable entry two, least stable entry one.


Entry one
A relaxed structure of DyNiPd2. Source: Alexandria via LeMat-Bulk, functional PBE.

```
4
Lattice="4.350 0.000 0.000 2.175 3.767 0.000 2.175 1.256 4.417" Properties=species:S:1:pos:R:3 pbc="T T T"
Ni 4.350 2.511 2.209
Pd 6.525 3.767 2.853
Pd 2.175 1.256 1.564
Dy 0.000 0.000 0.000
```

N(E_F), states/eV/cell: 3.801


Entry two
A relaxed structure of DyNiPd2. Source: Alexandria via LeMat-Bulk, functional PBE.

```
4
Lattice="-1.192 2.911 -2.451 -2.942 -2.425 -1.450 -2.549 1.374 2.872" Properties=species:S:1:pos:R:3 pbc="T T T"
Ni -0.596 1.455 -1.225
Pd -1.275 0.687 1.436
Pd -1.471 -1.213 -0.725
Dy -3.341 0.930 -0.514
```

N(E_F), states/eV/cell: 4.747


Stability summary: most stable entry two, least stable entry one.


Entry one
A relaxed structure of Dy7Ni2Pd2. Source: Alexandria via LeMat-Bulk, functional PBE.

```
11
Lattice="3.629 0.000 0.778 0.938 7.988 4.477 -0.076 -0.107 9.204" Properties=species:S:1:pos:R:3 pbc="T T T"
Dy 2.992 0.741 3.751
Dy 3.461 2.952 10.417
Dy 2.743 7.910 4.912
Dy 2.681 3.874 5.201
Dy 2.027 5.736 8.249
Dy 1.301 5.556 11.634
Dy 0.533 0.953 6.365
Ni 3.448 6.855 10.473
Ni 1.259 2.752 2.979
Pd 0.697 6.063 5.601
Pd 2.106 2.823 7.883
```

N(E_F), states/eV/cell: 11.594


Entry two
A relaxed structure of Dy7Ni2Pd2. Source: Alexandria via LeMat-Bulk, functional PBE.

```
11
Lattice="-4.124 2.180 -4.647 -4.905 0.734 4.698 3.255 5.097 2.603" Properties=species:S:1:pos:R:3 pbc="T T T"
Dy -3.758 4.919 -2.134
Dy -2.451 6.732 3.766
Dy -2.016 3.092 4.788
Dy -3.323 1.279 -1.112
Dy 0.000 0.000 0.000
Dy -4.103 4.187 2.488
Dy -1.671 3.825 0.166
Ni -6.883 3.762 2.159
Ni 1.109 4.249 0.495
Pd -3.158 6.277 0.689
Pd -2.616 1.734 1.965
```

N(E_F), states/eV/cell: 10.355


Stability summary: most stable entry one, least stable entry two.


Entry one
A relaxed structure of DyTmNiPd. Source: Alexandria via LeMat-Bulk, functional PBE.

```
4
Lattice="3.739 0.000 0.000 0.000 4.356 0.000 -1.870 0.000 5.136" Properties=species:S:1:pos:R:3 pbc="T T T"
Dy 0.000 0.000 1.450
Tm 1.870 2.178 3.719
Ni 0.000 0.000 4.298
Pd 1.870 2.178 0.806
```

N(E_F), states/eV/cell: 2.917


Entry two
A relaxed structure of DyTmNiPd. Source: Alexandria via LeMat-Bulk, functional PBE.

```
4
Lattice="4.852 0.000 0.000 2.426 4.202 0.000 2.426 1.401 3.962" Properties=species:S:1:pos:R:3 pbc="T T T"
Ni 2.426 1.401 0.990
Tm 4.852 2.801 1.981
Pd 7.278 4.202 2.971
Dy 0.000 0.000 0.000
```

N(E_F), states/eV/cell: 3.327


Stability summary: most stable entry one, least stable entry two.


Entry one
A relaxed structure of DyYNiPd. Source: Alexandria via LeMat-Bulk, functional PBE.

```
4
Lattice="-0.353 1.468 4.655 1.151 -3.075 3.629 4.050 0.744 2.645" Properties=species:S:1:pos:R:3 pbc="T T T"
Y 3.635 -0.647 8.197
Ni 0.000 0.000 0.000
Pd 2.424 -0.431 5.465
Dy 1.212 -0.216 2.732
```

N(E_F), states/eV/cell: 4.028


Entry two
A relaxed structure of DyYNiPd. Source: Alexandria via LeMat-Bulk, functional PBE.

```
4
Lattice="-2.468 -0.344 -2.852 3.307 -0.208 -2.838 1.355 -4.996 1.945" Properties=species:S:1:pos:R:3 pbc="T T T"
Dy 0.507 -4.018 -2.469
Y 0.034 -1.457 0.146
Ni 0.101 -4.334 0.435
Pd 0.438 -1.080 -2.764
```

N(E_F), states/eV/cell: 2.947


Stability summary: most stable entry two, least stable entry one.


Entry one
A relaxed structure of PmDy2Ni. Source: Alexandria via LeMat-Bulk, functional PBE.

```
4
Lattice="-0.514 3.491 -1.490 0.966 0.689 -3.641 -8.063 -0.933 -4.329" Properties=species:S:1:pos:R:3 pbc="T T T"
Pm -3.761 1.636 -4.716
Dy -6.645 -0.532 -3.877
Dy -1.285 0.987 -2.168
Ni 0.274 2.779 -3.429
```

N(E_F), states/eV/cell: 4.568


Entry two
A relaxed structure of PmDy2Ni. Source: Alexandria via LeMat-Bulk, functional PBE.

```
4
Lattice="-1.791 2.910 0.438 -2.141 -1.640 2.144 5.168 2.154 6.808" Properties=species:S:1:pos:R:3 pbc="T T T"
Ni -1.966 0.635 1.291
Pm 0.618 1.712 4.695
Dy 4.224 1.761 5.565
Dy 0.943 0.393 1.242
```

N(E_F), states/eV/cell: 3.963


Entry three
A relaxed structure of PmDy2Ni. Source: Alexandria via LeMat-Bulk, functional PBE.

```
8
Lattice="-0.373 1.664 3.254 -5.813 -0.603 -2.434 -0.894 -8.495 4.241" Properties=species:S:1:pos:R:3 pbc="T T T"
Pm -5.464 -1.099 2.008
Pm -1.617 -6.335 3.053
Dy -4.857 -4.676 1.830
Dy -2.224 -2.758 3.232
Dy -5.179 -7.737 3.358
Dy -1.902 0.303 1.704
Ni -4.054 -5.419 4.375
Ni -3.027 -2.015 0.686
```

N(E_F), states/eV/cell: 11.677


Stability summary: most stable entry three, least stable entry one.


Entry one
A relaxed structure of PmDy2Ni. Source: Alexandria via LeMat-Bulk, functional PBE.

```
4
Lattice="-1.042 -3.278 0.996 0.941 -1.280 3.209 -8.738 2.514 5.562" Properties=species:S:1:pos:R:3 pbc="T T T"
Ni -4.420 -1.022 4.884
Pm 0.000 0.000 0.000
Dy -5.823 1.163 4.169
Dy -3.017 -3.207 5.599
```

N(E_F), states/eV/cell: 6.399


Entry two
A relaxed structure of PmDy2Ni. Source: Alexandria via LeMat-Bulk, functional PBE.

```
16
Lattice="6.400 0.000 0.000 0.000 6.899 0.000 0.000 0.000 9.637" Properties=species:S:1:pos:R:3 pbc="T T T"
Pm 4.095 3.671 2.409
Pm 5.506 0.222 2.409
Pm 2.306 3.228 7.228
Pm 0.894 6.678 7.228
Dy 1.127 4.665 0.643
Dy 2.074 1.216 4.175
Dy 5.274 2.234 5.461
Dy 4.327 5.684 8.994
Dy 5.274 2.234 8.994
Dy 4.327 5.684 5.461
Dy 1.127 4.665 4.175
Dy 2.074 1.216 0.643
Ni 0.430 2.683 2.409
Ni 2.770 6.133 2.409
Ni 5.970 4.216 7.228
Ni 3.630 0.767 7.228
```

N(E_F), states/eV/cell: 17.112


Stability summary: most stable entry two, least stable entry one.


Entry one
A relaxed structure of PmDyNi. Source: Alexandria via LeMat-Bulk, functional PBE.

```
6
Lattice="-3.224 0.518 1.095 1.529 -3.215 5.985 2.963 6.021 0.458" Properties=species:S:1:pos:R:3 pbc="T T T"
Pm 0.891 0.925 3.440
Pm 1.787 3.739 4.719
Dy 1.028 5.374 1.744
Dy 1.649 -0.709 6.415
Ni -0.697 3.485 2.975
Ni 0.147 1.699 6.275
```

N(E_F), states/eV/cell: 6.449


Entry two
A relaxed structure of PmDyNi. Source: Alexandria via LeMat-Bulk, functional PBE.

```
3
Lattice="4.192 0.000 0.000 0.000 4.533 0.000 0.000 -2.267 3.926" Properties=species:S:1:pos:R:3 pbc="T T T"
Ni 4.049 0.000 0.000
Pm 1.152 0.000 2.617
Dy 3.183 2.267 1.309
```

N(E_F), states/eV/cell: 3.310


Entry three
A relaxed structure of PmDyNi. Source: Alexandria via LeMat-Bulk, functional PBE.

```
6
Lattice="5.597 -5.673 -1.189 0.111 -7.181 3.652 -3.072 5.632 -4.874" Properties=species:S:1:pos:R:3 pbc="T T T"
Pm 0.645 -5.561 0.306
Pm 1.991 -1.661 -2.717
Dy -0.783 -2.347 -0.310
Dy 3.418 -4.875 -2.101
Ni 0.473 -0.008 -1.137
Ni 2.051 -0.033 -4.926
```

N(E_F), states/eV/cell: 9.038


Stability summary: most stable entry one, least stable entry three.


Entry one
A relaxed structure of Pm2DyNi. Source: Alexandria via LeMat-Bulk, functional PBE.

```
4
Lattice="3.825 0.000 0.000 1.912 3.312 0.000 1.912 1.104 9.163" Properties=species:S:1:pos:R:3 pbc="T T T"
Pm 1.912 1.104 7.483
Pm 1.912 1.104 1.682
Dy 3.825 2.208 4.568
Ni 3.825 2.208 0.011
```

N(E_F), states/eV/cell: 4.980


Entry two
A relaxed structure of Pm2DyNi. Source: Alexandria via LeMat-Bulk, functional PBE.

```
16
Lattice="-0.865 -4.257 -4.663 1.197 -5.166 4.494 -9.656 -0.379 2.137" Properties=species:S:1:pos:R:3 pbc="T T T"
Pm 0.020 -4.284 2.377
Pm -4.252 -2.473 0.221
Pm -5.799 -5.379 -1.194
Pm -8.617 -7.468 2.531
Pm -9.344 -5.519 -0.409
Pm -5.071 -7.329 1.747
Pm -3.525 -4.423 3.162
Pm -0.707 -2.334 -0.564
Dy -2.333 -5.625 -0.082
Dy -3.107 -3.905 -3.274
Dy -6.990 -4.177 2.050
Dy -6.216 -5.897 5.242
Ni -1.998 -2.333 2.015
Ni -1.736 -6.570 2.450
Ni -7.325 -7.469 -0.047
Ni -7.588 -3.232 -0.482
```

N(E_F), states/eV/cell: 15.455


Entry three
A relaxed structure of Pm2DyNi. Source: Alexandria via LeMat-Bulk, functional PBE.

```
16
Lattice="6.392 0.000 0.000 0.000 6.487 -0.003 0.000 0.006 11.314" Properties=species:S:1:pos:R:3 pbc="T T T"
Pm 4.862 5.937 10.335
Pm 1.531 0.555 0.975
Pm 1.665 3.802 6.630
Pm 4.728 2.691 4.680
Pm 4.861 2.689 0.975
Pm 1.531 3.803 10.336
Pm 1.664 0.557 4.681
Pm 4.728 5.935 6.629
Dy 1.599 3.703 2.826
Dy 4.794 2.789 8.485
Dy 4.794 6.029 2.825
Dy 1.599 0.463 8.485
Ni 6.392 1.625 6.668
Ni 0.000 4.867 4.643
Ni 3.196 1.627 10.303
Ni 3.196 4.866 1.008
```

N(E_F), states/eV/cell: 20.660


Stability summary: most stable entry two, least stable entry one.


Entry one
A relaxed structure of Pm2DyNi. Source: Alexandria via LeMat-Bulk, functional PBE.

```
4
Lattice="3.734 0.000 0.000 1.867 3.234 0.000 1.867 1.078 9.489" Properties=species:S:1:pos:R:3 pbc="T T T"
Ni 0.000 0.000 0.000
Pm 1.867 1.078 1.763
Pm 5.601 3.234 7.726
Dy 3.734 2.156 4.744
```

N(E_F), states/eV/cell: 4.045


Entry two
A relaxed structure of Pm2DyNi. Source: Alexandria via LeMat-Bulk, functional PBE.

```
4
Lattice="3.550 0.000 0.000 0.000 3.550 0.000 0.000 0.000 8.621" Properties=species:S:1:pos:R:3 pbc="T T T"
Ni 1.775 1.775 0.000
Pm 0.000 0.000 6.962
Pm 0.000 0.000 1.659
Dy 1.775 1.775 4.311
```

N(E_F), states/eV/cell: 6.802


Stability summary: most stable entry two, least stable entry one.


Entry one
A relaxed structure of PmDyNiPt. Source: Alexandria via LeMat-Bulk, functional PBE.

```
4
Lattice="3.879 0.000 0.000 0.000 4.411 0.000 -1.940 0.000 5.169" Properties=species:S:1:pos:R:3 pbc="T T T"
Pm 0.000 0.000 1.469
Dy 1.940 2.205 3.744
Ni 0.000 0.000 4.341
Pt 1.940 2.205 0.783
```

N(E_F), states/eV/cell: 2.543


Entry two
A relaxed structure of PmDyNiPt. Source: Alexandria via LeMat-Bulk, functional PBE.

```
4
Lattice="4.940 0.000 0.000 2.470 4.279 0.000 2.470 1.426 4.034" Properties=species:S:1:pos:R:3 pbc="T T T"
Ni 7.411 4.279 3.025
Pm 4.940 2.852 2.017
Pt 2.470 1.426 1.008
Dy 0.000 0.000 0.000
```

N(E_F), states/eV/cell: 4.026


Stability summary: most stable entry one, least stable entry two.